i | ## Li3ZnN (PBE)

Data for an optimized crystal structure of Li3ZnN.

Calculated values
**DOS(E_F)**: 0.38 states/eV/cell

a = 4.4692 Å, b = 4.4692 Å, c = 4.4692 Å
α = 90.00°, β = 90.00°, γ = 90.00°
Fractional coordinates of all 5 atoms:
1 Li 0.0000 0.0000 0.5000
2 Li 0.0000 0.5000 0.0000
3 Li 0.5000 0.0000 0.0000
4 Zn 0.0000 0.0000 0.0000
5 N 0.5000 0.5000 0.5000



ii | ## Li3ZnN (PBE)

Data for an optimized crystal structure of Li3ZnN.

Calculated values
**DOS(E_F)**: 0.17 states/eV/cell

a = 4.0011 Å, b = 4.0011 Å, c = 4.0011 Å
α = 90.00°, β = 90.00°, γ = 90.00°
Fractional coordinates of all 5 atoms:
1 Li 0.0000 0.0000 0.5000
2 Li 0.0000 0.5000 0.0000
3 Li 0.5000 0.0000 0.0000
4 Zn 0.5000 0.5000 0.5000
5 N 0.0000 0.0000 0.0000



Winner for stability: ii



i | ## LiZr2N3 (PBE)

Data for an optimized crystal structure of LiZr2N3.

a = 5.5512 Å, b = 3.2596 Å, c = 8.4995 Å
α = 90.00°, β = 107.49°, γ = 90.00°
Fractional coordinates of all 12 atoms:
1 Li 0.0239 0.2500 0.3588
2 Li 0.9761 0.7500 0.6412
3 Zr 0.2386 0.2500 0.9834
4 Zr 0.4740 0.2500 0.6589
5 Zr 0.5260 0.7500 0.3411
6 Zr 0.7614 0.7500 0.0166
7 N 0.1636 0.7500 0.1381
8 N 0.2847 0.7500 0.5005
9 N 0.3600 0.7500 0.8381
10 N 0.6400 0.2500 0.1619
11 N 0.7153 0.2500 0.4995
12 N 0.8364 0.2500 0.8619



ii | ## LiZr2N3 (PBE)

Data for an optimized crystal structure of LiZr2N3.

Calculated values
**DOS(E_F)**: 0.10 states/eV/cell

a = 6.6378 Å, b = 6.6378 Å, c = 4.4301 Å
α = 90.00°, β = 90.00°, γ = 60.39°
Fractional coordinates of all 12 atoms:
1 Li 0.1339 0.8661 0.7500
2 Li 0.8661 0.1339 0.2500
3 Zr 0.1636 0.5182 0.2500
4 Zr 0.4818 0.8364 0.2500
5 Zr 0.5182 0.1636 0.7500
6 Zr 0.8364 0.4818 0.7500
7 N 0.1695 0.4665 0.7500
8 N 0.1866 0.8134 0.2500
9 N 0.4665 0.1695 0.2500
10 N 0.5335 0.8305 0.7500
11 N 0.8134 0.1866 0.7500
12 N 0.8305 0.5335 0.2500



Winner for stability: ii



i | ## Na3Li2 (PBE)

Data for an optimized crystal structure of Na3Li2.

Calculated values
**DOS(E_F)**: 4.36 states/eV/cell

a = 8.9730 Å, b = 8.9730 Å, c = 8.9730 Å
α = 44.21°, β = 44.21°, γ = 44.21°
Fractional coordinates of all 10 atoms:
1 Na 0.2469 0.7500 0.2531
2 Na 0.2500 0.7469 0.7531
3 Na 0.2531 0.2469 0.7500
4 Na 0.7469 0.7531 0.2500
5 Na 0.7500 0.2531 0.2469
6 Na 0.7531 0.2500 0.7469
7 Li 0.1916 0.1916 0.1916
8 Li 0.3084 0.3084 0.3084
9 Li 0.6916 0.6916 0.6916
10 Li 0.8084 0.8084 0.8084



ii | ## Na3Li2 (PBE)

Data for an optimized crystal structure of Na3Li2.

Calculated values
**DOS(E_F)**: 3.11 states/eV/cell

a = 12.2152 Å, b = 7.5820 Å, c = 14.1719 Å
α = 59.49°, β = 32.33°, γ = 88.19°
Fractional coordinates of all 10 atoms:
1 Na 0.0000 0.0000 0.0000
2 Na 0.2500 0.2500 0.2500
3 Na 0.3922 0.4857 0.8204
4 Na 0.4296 0.9484 0.8578
5 Na 0.4857 0.3922 0.3016
6 Na 0.9484 0.4296 0.7643
7 Li 0.3289 0.7672 0.6073
8 Li 0.6427 0.9534 0.9211
9 Li 0.7672 0.3289 0.2966
10 Li 0.9534 0.6427 0.4828



Winner for stability: ii